[1]
DFT (PBEsol) results for a relaxed KMoPt2 crystal.

a = 5.060 Å, b = 5.060 Å, c = 2.705 Å
α = 90.00°, β = 90.00°, γ = 90.00°
Space group P4/mmm (No. 123)
Symmetry-distinct sites (fractional):
K: 0.000 0.000 0.000 x1
Mo: 0.500 0.500 0.000 x1
Pt: 0.000 0.500 0.500 x2

Computed properties:
For the density of states at the Fermi level, the calculation gives 0.8027 states/eV/atom. As for the energy relative to the lowest polymorph listed for this composition: 45 meV per atom. The calculation puts the formation energy at 444 meV per atom. Its calculated total energy is -6.2628 eV/atom.

[2]
DFT (PBEsol) results for a relaxed K2MoPt crystal.

a = 3.055 Å, b = 4.653 Å, c = 11.453 Å
α = 90.00°, β = 90.00°, γ = 90.00°
Space group Cmmm (No. 65)
Symmetry-distinct sites (fractional):
K: 0.000 0.000 0.231 x4
Mo: 0.000 0.500 0.500 x2
Pt: 0.000 0.500 0.000 x2

Computed properties:
For the density of states at the Fermi level, the calculation gives 0.7332 states/eV/atom. As for the energy relative to the lowest polymorph listed for this composition: 336 meV per atom. The calculation puts the formation energy at 918 meV per atom. Its calculated total energy is -4.3320 eV/atom.

[3]
DFT (PBEsol) results for a relaxed K2Mo2Pt crystal.

a = 3.815 Å, b = 3.815 Å, c = 15.358 Å
α = 90.00°, β = 90.00°, γ = 90.00°
Space group I4/mmm (No. 139)
Symmetry-distinct sites (fractional):
K: 0.000 0.500 0.250 x4
Mo: 0.000 0.000 0.066 x4
Pt: 0.000 0.000 0.500 x2

Computed properties:
For the density of states at the Fermi level, the calculation gives 0.9604 states/eV/atom. The calculation puts the formation energy at 1365 meV per atom. Its calculated total energy is -5.1878 eV/atom.